Here is crystalline Cs3AgCl at its relaxed geometry from Alexandria. Energies are from PBEsol.

Values from the calculation:
Magnetization (μB per atom): 0.000
DOS(E_F) (states/eV/atom): 0.64
V (Å³/f.u.): 277.2
Formation energy without anion corrections (eV per atom): -0.59

CIF file:
```
data_Cs3AgCl
_chemical_formula_sum 'Cs3 Ag1 Cl1'
_cell_length_a 6.520
_cell_length_b 6.520
_cell_length_c 6.520
_cell_angle_alpha 90.00
_cell_angle_beta 90.00
_cell_angle_gamma 90.00
_space_group_name_H-M_alt 'P m -3 m'
_space_group_IT_number 221
_space_group_name_Hall '-P 4 2 3'
loop_
_atom_site_label
_atom_site_type_symbol
_atom_site_fract_x
_atom_site_fract_y
_atom_site_fract_z
_atom_site_occupancy
Cs1 Cs 0.000 0.000 0.500 1
Ag1 Ag 0.500 0.500 0.500 1
Cl1 Cl 0.000 0.000 0.000 1
```